Density functional theory data (PBE) for a relaxed structure of Ba2AsOs.

Properties
Final energy ... -4.7158 eV/atom
ΔE_f ... 0.2154 eV/atom
Crystal system ... tetragonal

a b c (Å): 3.496 3.496 9.812
angles (deg): 90.00 90.00 90.00
Fractional positions:
Ba1 0.000 0.000 0.000
Ba2 0.500 0.500 0.416
As1 0.500 0.500 0.753
Os1 0.000 0.000 0.659

Density functional theory data (PBE) for a relaxed structure of TbHg2Pd9.

Properties
Final energy ... -4.6802 eV/atom
ΔE_f ... -0.3494 eV/atom
Crystal system ... tetragonal

a b c (Å): 4.066 4.066 12.355
angles (deg): 90.00 90.00 90.00
Fractional positions:
Tb1 0.000 0.000 0.000
Hg1 0.000 0.000 0.337
Hg2 0.000 0.000 0.663
Pd1 0.000 0.500 0.170
Pd2 0.000 0.500 0.500
Pd3 0.000 0.500 0.830
Pd4 0.500 0.000 0.170
Pd5 0.500 0.000 0.500
Pd6 0.500 0.000 0.830
Pd7 0.500 0.500 0.000
Pd8 0.500 0.500 0.333
Pd9 0.500 0.500 0.667

Density functional theory data (PBE) for a relaxed structure of NaBe3Mo.

Properties
Final energy ... -2.9961 eV/atom
ΔE_f ... 1.6696 eV/atom
Polymorph energy (0 for the lowest one) ... 2.56 eV/f.u.
Crystal system ... cubic

a b c (Å): 3.997 3.997 3.997
angles (deg): 90.00 90.00 90.00
Fractional positions:
Na1 0.000 0.000 0.000
Be1 0.000 0.000 0.500
Be2 0.000 0.500 0.000
Be3 0.500 0.000 0.000
Mo1 0.500 0.500 0.500

Density functional theory data (PBE) for a relaxed structure of KNiAgP.

Properties
Final energy ... -4.0714 eV/atom
ΔE_f ... -0.2864 eV/atom
Crystal system ... tetragonal

a b c (Å): 3.915 3.915 11.994
angles (deg): 90.00 90.00 90.00
Fractional positions:
K1 0.250 0.250 0.247
K2 0.750 0.750 0.753
Ni1 0.250 0.750 0.000
Ni2 0.750 0.250 0.000
Ag1 0.250 0.750 0.500
Ag2 0.750 0.250 0.500
P1 0.250 0.250 0.910
P2 0.750 0.750 0.090